No. 1
A plane-wave DFT calculation with PBE was carried out for crystalline PmEr4Si4 at its relaxed geometry.

abc: 9.126 9.126 5.674
angles: 90.00 90.00 90.00
Space group P4_2/n (No. 86, origin choice 2)
Inequivalent atoms, fractional coordinates:
Pm1 0.250 0.250 0.250 x2
Er1 0.096 0.644 0.129 x8
Si1 0.040 0.599 0.632 x8

Volume, Å³ per atom: 26.25
E_form (uncorrected), kJ/mol of formula units: -415.4
Magnetization, μB per formula unit: 0.00
Final energy, eV/atom: -5.44


No. 2
A plane-wave DFT calculation with PBE was carried out for crystalline Pm2ErSi at its relaxed geometry.

abc: 3.6759 3.6759 32.5474
angles: 90.00 90.00 120.00
Space group R-3m (No. 166, hexagonal axes)
Inequivalent atoms, fractional coordinates:
Pm1 0.0000 0.0000 0.1065 x6
Er1 0.0000 0.0000 0.0000 x3
Si1 0.0000 0.0000 0.5000 x3

Volume, Å³ per atom: 31.74
E_form (uncorrected), kJ/mol of formula units: 26.9
Magnetization, μB per formula unit: 0.73
Final energy, eV/atom: -4.80


No. 3
A plane-wave DFT calculation with PBE was carried out for crystalline Pm3ErSi2 at its relaxed geometry.

abc: 19.940 4.221 8.254
angles: 90.00 114.19 90.00
Space group C2/m (No. 12)
Inequivalent atoms, fractional coordinates:
Pm1 0.025 0.000 0.309 x4
Pm2 0.097 0.500 0.998 x4
Pm3 0.177 0.500 0.420 x4
Er1 0.184 0.000 0.792 x4
Si1 0.067 0.500 0.605 x4
Si2 0.211 0.000 0.188 x4

Volume, Å³ per atom: 26.40
E_form (uncorrected), kJ/mol of formula units: -294.4
Magnetization, μB per formula unit: 0.00
Final energy, eV/atom: -5.45